Below is a relaxed Tl2Cd3InHg6 crystal, with properties calculated at the PBE-GGA level.

Cell lengths 4.470, 4.470, 19.442 Å; angles 90.00, 90.00, 90.00 degrees
Atoms (fractional coordinates):
Tl 0.000 0.000 0.222
Tl 0.000 0.000 0.778
Cd 0.500 0.500 0.000
Cd 0.500 0.500 0.289
Cd 0.500 0.500 0.711
In 0.000 0.000 0.500
Hg 0.000 0.500 0.392
Hg 0.000 0.500 0.608
Hg 0.500 0.000 0.392
Hg 0.500 0.000 0.608
Hg 0.500 0.500 0.143
Hg 0.500 0.500 0.857

Calculated values
formation energy from the elements = 105 meV/atom

---

Below is a relaxed Au2IO crystal, with properties calculated at the PBE-GGA level.

Cell lengths 5.580, 5.580, 12.647 Å; angles 90.00, 90.00, 90.00 degrees
Atoms (fractional coordinates):
Au 0.000 0.000 0.000
Au 0.000 0.500 0.000
Au 0.250 0.250 0.750
Au 0.250 0.750 0.250
Au 0.500 0.000 0.500
Au 0.500 0.500 0.500
Au 0.750 0.250 0.750
Au 0.750 0.750 0.250
I 0.000 0.250 0.375
I 0.000 0.750 0.625
I 0.500 0.250 0.125
I 0.500 0.750 0.875
O 0.000 0.250 0.875
O 0.000 0.750 0.125
O 0.500 0.250 0.625
O 0.500 0.750 0.375

Calculated values
energy above the lowest structure with this stoichiometry = 0.0000 eV per atom
uncorrected formation energy = 0.256 eV/atom

---

Below is a relaxed Mn2B2Pd crystal, with properties calculated at the PBE-GGA level.

Cell lengths 5.673, 5.673, 3.116 Å; angles 90.00, 90.00, 90.00 degrees
Atoms (fractional coordinates):
Mn 0.163 0.337 0.000
Mn 0.337 0.837 0.000
Mn 0.663 0.163 0.000
Mn 0.837 0.663 0.000
B 0.111 0.611 0.500
B 0.389 0.111 0.500
B 0.611 0.889 0.500
B 0.889 0.389 0.500
Pd 0.000 0.000 0.500
Pd 0.500 0.500 0.500

Calculated values
formation energy from the elements = -175 meV/atom

---

Below is a relaxed SrHf2SbO crystal, with properties calculated at the PBE-GGA level.

Cell lengths 4.362, 4.362, 6.073 Å; angles 90.00, 90.00, 90.00 degrees
Atoms (fractional coordinates):
Sr 0.000 0.000 0.000
Hf 0.000 0.500 0.500
Hf 0.500 0.000 0.500
Sb 0.500 0.500 0.000
O 0.500 0.500 0.500

Calculated values
uncorrected formation energy = -0.783 eV/atom

---

Below is a relaxed Ba2FeS3 crystal, with properties calculated at the PBE-GGA level.

Cell lengths 12.174, 4.254, 12.510 Å; angles 90.00, 90.00, 90.00 degrees
Atoms (fractional coordinates):
Ba 0.010 0.250 0.175
Ba 0.174 0.250 0.524
Ba 0.326 0.750 0.024
Ba 0.490 0.750 0.675
Ba 0.510 0.250 0.325
Ba 0.674 0.250 0.976
Ba 0.826 0.750 0.476
Ba 0.990 0.750 0.825
Fe 0.244 0.750 0.304
Fe 0.256 0.250 0.804
Fe 0.744 0.750 0.196
Fe 0.756 0.250 0.696
S 0.063 0.750 0.361
S 0.137 0.250 0.946
S 0.228 0.750 0.716
S 0.272 0.250 0.216
S 0.363 0.750 0.446
S 0.437 0.250 0.861
S 0.563 0.750 0.139
S 0.637 0.250 0.554
S 0.728 0.750 0.784
S 0.772 0.250 0.284
S 0.863 0.750 0.054
S 0.937 0.250 0.639

Calculated values
uncorrected formation energy = -1.476 eV/atom

---

Below is a relaxed Ga3BRu crystal, with properties calculated at the PBE-GGA level.

Cell lengths 4.856, 4.856, 4.856 Å; angles 90.00, 90.00, 90.00 degrees
Atoms (fractional coordinates):
Ga 0.000 0.000 0.500
Ga 0.000 0.500 0.000
Ga 0.500 0.000 0.000
B 0.500 0.500 0.500
Ru 0.000 0.000 0.000

Calculated values
energy above the lowest structure with this stoichiometry = 0.1540 eV per atom
formation energy from the elements = 872 meV/atom

---

Below is a relaxed Ta2TiGe crystal, with properties calculated at the PBE-GGA level.

Cell lengths 7.464, 7.464, 5.358 Å; angles 90.00, 90.00, 90.00 degrees
Atoms (fractional coordinates):
Ta 0.221 0.250 0.125
Ta 0.250 0.721 0.375
Ta 0.250 0.779 0.875
Ta 0.279 0.250 0.625
Ta 0.721 0.750 0.625
Ta 0.750 0.221 0.875
Ta 0.750 0.279 0.375
Ta 0.779 0.750 0.125
Ti 0.000 0.000 0.500
Ti 0.000 0.500 0.750
Ti 0.500 0.000 0.250
Ti 0.500 0.500 0.000
Ge 0.000 0.000 0.000
Ge 0.000 0.500 0.250
Ge 0.500 0.000 0.750
Ge 0.500 0.500 0.500

Calculated values
formation energy from the elements = 396 meV/atom

---

Below is a relaxed CeFeCu crystal, with properties calculated at the PBE-GGA level.

Cell lengths 4.855, 5.236, 7.610 Å; angles 90.00, 90.00, 90.00 degrees
Atoms (fractional coordinates):
Ce 0.000 0.250 0.130
Ce 0.000 0.750 0.870
Ce 0.500 0.250 0.370
Ce 0.500 0.750 0.630
Fe 0.000 0.000 0.500
Fe 0.000 0.500 0.500
Fe 0.500 0.000 0.000
Fe 0.500 0.500 0.000
Cu 0.250 0.250 0.750
Cu 0.250 0.750 0.250
Cu 0.750 0.250 0.750
Cu 0.750 0.750 0.250

Calculated values
formation energy from the elements = -35 meV/atom

---

Below is a relaxed CrCdOs2 crystal, with properties calculated at the PBE-GGA level.

Cell lengths 2.814, 4.612, 9.394 Å; angles 90.00, 90.00, 90.00 degrees
Atoms (fractional coordinates):
Cr 0.000 0.000 0.000
Cr 0.500 0.500 0.500
Cd 0.000 0.000 0.500
Cd 0.500 0.500 0.000
Os 0.000 0.500 0.281
Os 0.000 0.500 0.719
Os 0.500 0.000 0.219
Os 0.500 0.000 0.781

Calculated values
formation energy from the elements = 448 meV/atom

---

Below is a relaxed Pm6YGa2 crystal, with properties calculated at the PBE-GGA level.

Cell lengths 6.663, 6.663, 12.013 Å; angles 108.94, 108.94, 32.57 degrees
Atoms (fractional coordinates):
Pm 0.027 0.027 0.324
Pm 0.310 0.310 0.407
Pm 0.311 0.311 0.125
Pm 0.689 0.689 0.875
Pm 0.690 0.690 0.593
Pm 0.973 0.973 0.676
Y 0.000 0.000 0.000
Ga 0.356 0.356 0.805
Ga 0.644 0.644 0.195

Calculated values
formation energy from the elements = -246 meV/atom

---

Below is a relaxed ZnAsRu crystal, with properties calculated at the PBE-GGA level.

Cell lengths 4.162, 4.162, 3.159 Å; angles 90.00, 90.00, 120.00 degrees
Atoms (fractional coordinates):
Zn 0.000 0.000 0.000
As 0.333 0.667 0.500
Ru 0.667 0.333 0.500

Calculated values
energy above the lowest structure with this stoichiometry = 0.2045 eV per atom
formation energy from the elements = 59 meV/atom

---

Below is a relaxed K2Tc crystal, with properties calculated at the PBE-GGA level.

Cell lengths 6.814, 6.814, 6.814 Å; angles 60.00, 60.00, 60.00 degrees
Atoms (fractional coordinates):
K 0.000 0.000 0.000
K 0.000 0.000 0.500
K 0.000 0.500 0.000
K 0.500 0.000 0.000
Tc 0.375 0.375 0.375
Tc 0.625 0.625 0.625

Calculated values
energy above the lowest structure with this stoichiometry = 1.1206 eV per atom
formation energy from the elements = 1768 meV/atom

---

Below is a relaxed AlV5Cr2 crystal, with properties calculated at the PBE-GGA level.

Cell lengths 7.291, 7.291, 7.291 Å; angles 130.20, 130.20, 73.08 degrees
Atoms (fractional coordinates):
Al 0.250 0.250 0.000
Al 0.750 0.750 0.000
V 0.000 0.000 0.000
V 0.007 0.507 0.818
V 0.189 0.007 0.500
V 0.311 0.811 0.818
V 0.493 0.311 0.500
V 0.500 0.500 0.000
V 0.507 0.689 0.500
V 0.689 0.189 0.182
V 0.811 0.993 0.500
V 0.993 0.493 0.182
Cr 0.157 0.343 0.500
Cr 0.343 0.843 0.187
Cr 0.657 0.157 0.813
Cr 0.843 0.657 0.500

Calculated values
formation energy from the elements = 227 meV/atom

---

Below is a relaxed Pm3Si4Ni4 crystal, with properties calculated at the PBE-GGA level.

Cell lengths 12.264, 12.264, 12.264 Å; angles 161.19, 161.07, 26.81 degrees
Atoms (fractional coordinates):
Pm 0.000 0.000 0.000
Pm 0.149 0.649 0.500
Pm 0.851 0.351 0.500
Si 0.250 0.250 0.000
Si 0.399 0.899 0.500
Si 0.601 0.101 0.500
Si 0.750 0.750 0.000
Ni 0.300 0.800 0.500
Ni 0.448 0.448 0.000
Ni 0.552 0.552 0.000
Ni 0.700 0.200 0.500

Calculated values
energy above the lowest structure with this stoichiometry = 0.0562 eV per atom
uncorrected formation energy = -0.733 eV/atom